No. 1
Density functional theory data (PBE) for a relaxed structure of Pm5Pr3H12.

Cell and atoms, written as extended XYZ:
```
80
Lattice="-6.8289 6.8289 6.8289 6.8289 -6.8289 6.8289 6.8289 6.8289 -6.8289" Properties=species:S:1:pos:R:3 pbc="T T T"
Pm 0.0000 0.0000 0.0000
Pm 3.4144 3.4144 -3.4144
Pm 3.4144 -3.4144 3.4144
Pm 6.8289 0.0000 0.0000
Pm 10.2433 1.7072 0.0000
Pm 6.8289 -3.4144 5.1217
Pm 5.1217 6.8289 -3.4144
Pm 5.1217 0.0000 3.4144
Pm 3.4144 5.1217 0.0000
Pm 6.8289 3.4144 1.7072
Pm -3.4144 3.4144 3.4144
Pm 0.0000 6.8289 0.0000
Pm 0.0000 0.0000 6.8289
Pm 3.4144 3.4144 3.4144
Pm 0.0000 3.4144 5.1217
Pm 3.4144 1.7072 6.8289
Pm 1.7072 6.8289 3.4144
Pm 1.7072 0.0000 10.2433
Pm 0.0000 10.2433 1.7072
Pm -3.4144 5.1217 6.8289
Pr 3.4144 1.7072 0.0000
Pr 6.8289 3.4144 -1.7072
Pr 1.7072 0.0000 3.4144
Pr 8.5361 0.0000 3.4144
Pr 0.0000 3.4144 1.7072
Pr 3.4144 -1.7072 6.8289
Pr 3.4144 8.5361 0.0000
Pr 6.8289 3.4144 5.1217
Pr -1.7072 6.8289 3.4144
Pr 5.1217 6.8289 3.4144
Pr 0.0000 3.4144 8.5361
Pr 3.4144 5.1217 6.8289
H 2.1113 -0.0707 0.9505
H 8.1320 4.3649 -3.4852
H 8.9402 0.0707 0.9505
H 8.1320 -2.4640 3.4852
H 6.7582 -0.9505 2.1113
H 10.3140 -1.3031 2.4640
H 0.9505 2.1113 -0.0707
H 9.2929 3.3437 -1.3031
H 4.3649 3.4852 -1.3031
H 5.8784 2.1113 0.0707
H -0.0707 0.9505 2.1113
H 3.4852 -1.3031 4.3649
H 6.7582 5.8784 -2.1113
H 3.4852 1.3031 2.4640
H 4.3649 -3.4852 8.1320
H 5.8784 -2.1113 6.7582
H 2.4640 3.4852 1.3031
H 7.7793 4.7176 0.0707
H 3.4852 8.1320 -2.4640
H 6.7582 0.9505 4.7176
H 2.1113 6.7582 -0.9505
H 8.1320 2.4640 3.3437
H 1.3031 2.4640 3.4852
H 2.1113 0.0707 5.8784
H 4.7176 6.7582 0.9505
H 5.5258 4.3649 3.3437
H -1.3031 4.3649 3.4852
H 4.7176 0.0707 7.7793
H 0.0707 5.8784 2.1113
H 3.3437 -1.3031 9.2929
H -0.9505 2.1113 6.7582
H 4.3649 3.3437 5.5258
H 0.9505 8.9402 0.0707
H 2.4640 10.3140 -1.3031
H 3.3437 5.5258 4.3649
H 0.0707 0.9505 8.9402
H 3.3437 8.1320 2.4640
H 6.8996 5.8784 4.7176
H 0.9505 4.7176 6.7582
H 2.4640 3.3437 8.1320
H -2.4640 3.4852 8.1320
H 5.8784 4.7176 6.8996
H -3.4852 8.1320 4.3649
H 0.0707 7.7793 4.7176
H -1.3031 9.2929 3.3437
H -2.1113 6.7582 5.8784
H -1.3031 2.4640 10.3140
H 4.7176 6.8996 5.8784
```

## Properties
The density of states at the Fermi level comes out at 64.324 states/eV/cell. Its raw total energy is -4.350 eV per atom. The space group is Ia-3d (230).

No. 2
Density functional theory data (PBE) for a relaxed structure of CoPdI4.

Cell and atoms, written as extended XYZ:
```
6
Lattice="6.9326 0.0000 0.0000 0.0000 4.0415 0.0000 -0.2495 0.0000 7.0978" Properties=species:S:1:pos:R:3 pbc="T T T"
Co 0.0000 0.0000 0.0000
Pd 3.4663 2.0207 0.0000
I 1.1363 2.0207 1.5362
I 1.9838 0.0000 5.5701
I 4.6994 0.0000 1.5277
I 5.5469 2.0207 5.5617
```

## Properties
The formation energy (no corrections) is -26 kJ/mol of formula units. The density of states at the Fermi level comes out at 9.893 states/eV/cell. The space group is P2/m (10).

No. 3
Density functional theory data (PBE) for a relaxed structure of Mn2BePb.

Cell and atoms, written as extended XYZ:
```
4
Lattice="3.1176 0.0000 0.0000 0.0000 3.1977 0.0000 -1.4792 0.0000 6.4509" Properties=species:S:1:pos:R:3 pbc="T T T"
Mn 0.0000 0.0000 0.0000
Mn 0.0739 1.5989 4.9213
Be 1.6269 0.0000 4.1709
Pb 1.5571 1.5989 1.9708
```

## Properties
The calculation puts the energy above the most stable polymorph in this dataset at 0.059 eV/atom. The density of states at the Fermi level comes out at 2.545 states/eV/cell. The space group is Pm (6).

No. 4
Density functional theory data (PBE) for a relaxed structure of Hf5Ru6.

Cell and atoms, written as extended XYZ:
```
11
Lattice="-2.2503 3.2227 6.7118 2.2503 -3.2227 6.7118 2.2503 3.2227 -6.7118" Properties=species:S:1:pos:R:3 pbc="T T T"
Hf 0.0000 0.0000 0.0000
Hf 2.2503 0.0000 2.2829
Hf 0.0000 0.0000 4.6355
Hf 0.0000 0.0000 8.7882
Hf 0.0000 3.2227 4.4290
Ru 2.2503 -1.6139 4.4709
Ru 2.2503 1.5484 0.0000
Ru 0.0000 1.6088 2.2410
Ru 2.2503 1.6139 4.4709
Ru 0.0000 1.6742 6.7118
Ru 0.0000 4.8365 2.2410
```

## Properties
The density of states at the Fermi level comes out at 8.312 states/eV/cell. Its raw total energy is -10.062 eV per atom. The space group is Immm (71).

Computed magnetization, in the same sequence as the records: 0.00; 3.06; 6.19; 0.00 μB/f.u..